Below is a relaxed structure of Mg2ReRh, with properties calculated at the GGA-PBE level.

Output
VASP energy: -5.587 eV/atom
Space group: Pmmm
ΔH_f (0 K): 15.4 kJ/mol of atoms
D(E_F): 0.97 states/eV/atom
Crystal system: orthorhombic

Unit cell a=2.893 b=4.754 c=4.605 alpha=90.00 beta=90.00 gamma=90.00
Positions (direct):
Re 0.500 0.000 0.500
Rh 0.000 0.500 0.500
Mg 0.000 0.000 0.000
Mg 0.500 0.500 0.000

---

Below is a relaxed structure of Ac2Zn3GePt4, with properties calculated at the GGA-PBE level.

Output
VASP energy: -4.914 eV/atom
Space group: P-4m2
ΔH_f (0 K): -80.3 kJ/mol of atoms
D(E_F): 0.63 states/eV/atom
Crystal system: tetragonal

Unit cell a=4.580 b=4.580 c=9.879 alpha=90.00 beta=90.00 gamma=90.00
Positions (direct):
Pt 0.500 0.500 0.000
Pt 0.000 0.000 0.000
Ac 0.000 0.500 0.760
Zn 0.000 0.000 0.500
Zn 0.500 0.000 0.877
Pt 0.000 0.500 0.382
Pt 0.500 0.000 0.618
Zn 0.000 0.500 0.123
Ac 0.500 0.000 0.240
Ge 0.500 0.500 0.500

---

Below is a relaxed structure of Ho5Co2Pb, with properties calculated at the GGA-PBE level.

Output
VASP energy: -5.395 eV/atom
Space group: I4/mcm
ΔH_f (0 K): -28.3 kJ/mol of atoms
D(E_F): 1.21 states/eV/atom
Crystal system: tetragonal

Unit cell a=7.575 b=7.575 c=8.666 alpha=115.92 beta=115.92 gamma=90.00
Positions (direct):
Ho 0.211 0.031 0.741
Pb 0.750 0.750 0.500
Co 0.365 0.865 0.000
Ho 0.969 0.469 0.259
Co 0.865 0.635 0.000
Co 0.135 0.365 0.000
Ho 0.031 0.531 0.741
Ho 0.289 0.789 0.259
Pb 0.250 0.250 0.500
Ho 0.469 0.289 0.259
Co 0.635 0.135 0.000
Ho 0.500 0.500 0.000
Ho 0.789 0.969 0.259
Ho 0.531 0.711 0.741
Ho 0.000 0.000 0.000
Ho 0.711 0.211 0.741

---

Below is a relaxed structure of Cs2PuBe2O6, with properties calculated at the GGA-PBE level.

Output
Formation energy without anion corrections: -223.39 kJ per mole of atoms
VASP energy: -7.155 eV/atom
Space group: R-3m
D(E_F): 0.66 states/eV/atom
Crystal system: trigonal

Unit cell a=5.646 b=5.646 c=7.544 alpha=68.03 beta=68.03 gamma=60.00
Positions (direct):
O 0.289 0.767 0.178
O 0.233 0.711 0.822
O 0.767 0.767 0.178
Pu 0.000 0.000 0.000
Be 0.389 0.389 0.832
O 0.767 0.289 0.178
Cs 0.213 0.213 0.360
Cs 0.787 0.787 0.640
O 0.711 0.233 0.822
O 0.233 0.233 0.822
Be 0.611 0.611 0.168